DFT (meta-GGA SCAN) results for a PBEsol-optimized structure of Zn2CuAg.

abc: 4.277 4.277 4.277
angles: 60.00 60.00 60.00
Positions (direct):
Zn 0.000 0.000 0.000
Zn 0.750 0.750 0.750
Ag 0.500 0.500 0.500
Cu 0.250 0.250 0.250

Results
The symmetry is F-43m (216). The value obtained for the energy relative to the elements is 0.018 eV per atom. The value obtained for the volume is 13.83 Å³ per atom. The magnetic moment comes out at 0.00 Bohr magnetons per cell. The calculation puts the density of states at the Fermi level at 1.22 states/eV per cell. As for the final energy: -18.381 eV per atom.

***

DFT (meta-GGA SCAN) results for a PBEsol-optimized structure of Zn2CuAg.

abc: 3.983 3.983 4.477
angles: 116.41 116.41 90.00
Positions (direct):
Zn 0.750 0.250 0.500
Zn 0.250 0.750 0.500
Cu 0.000 0.000 0.000
Ag 0.500 0.500 0.000

Results
The symmetry is I4/mmm (139). The value obtained for the energy relative to the elements is -0.016 eV per atom. The value obtained for the volume is 13.80 Å³ per atom. The magnetic moment comes out at 0.00 Bohr magnetons per cell. The calculation puts the density of states at the Fermi level at 0.94 states/eV per cell. As for the final energy: -18.415 eV per atom.

***

DFT (meta-GGA SCAN) results for a PBEsol-optimized structure of Zn2CuAg.

abc: 3.744 3.744 4.746
angles: 113.23 113.23 90.00
Positions (direct):
Zn 0.000 0.000 0.000
Zn 0.750 0.250 0.500
Cu 0.250 0.750 0.500
Ag 0.500 0.500 0.000

Results
The symmetry is I-4m2 (119). The value obtained for the energy relative to the elements is -0.020 eV per atom. The value obtained for the volume is 13.80 Å³ per atom. The magnetic moment comes out at 0.00 Bohr magnetons per cell. The calculation puts the density of states at the Fermi level at 0.96 states/eV per cell. As for the final energy: -18.419 eV per atom.